i | ! PrZnNi (PBE-GGA, optimized geometry); values from VASP
&SYSTEM
  ibrav = 0, nat = 9, ntyp = 3
/
ATOMIC_SPECIES
Pr 140.91 Pr.upf
Zn 65.41 Zn.upf
Ni 58.69 Ni.upf
ATOMIC_POSITIONS angstrom
Pr -2.1254 3.6813 0.0000
Pr 1.5043 2.6055 0.0000
Pr 4.2508 0.0000 0.0000
Zn -0.8440 1.4618 1.9418
Zn 1.6880 0.0000 1.9418
Zn 2.7857 4.8250 1.9418
Ni 0.0000 0.0000 0.0000
Ni 0.0000 4.1912 1.9418
Ni 3.6297 2.0956 1.9418
CELL_PARAMETERS angstrom
7.2594 0.0000 0.0000
-3.6297 6.2868 0.0000
0.0000 0.0000 3.8837
! DOS(E_F): 5.78 states/eV per cell

---

ii | ! PrZnNi (PBE-GGA, optimized geometry); values from VASP
&SYSTEM
  ibrav = 0, nat = 12, ntyp = 3
/
ATOMIC_SPECIES
Pr 140.91 Pr.upf
Zn 65.41 Zn.upf
Ni 58.69 Ni.upf
ATOMIC_POSITIONS angstrom
Pr 0.0000 0.0000 0.0000
Pr 0.0000 3.2157 3.2157
Pr 3.2157 0.0000 3.2157
Pr 3.2157 3.2157 0.0000
Zn 0.0000 0.0000 3.2157
Zn 0.0000 3.2157 0.0000
Zn 3.2157 0.0000 0.0000
Zn 3.2157 3.2157 3.2157
Ni 1.6078 1.6078 4.8235
Ni 1.6078 4.8235 1.6078
Ni 4.8235 1.6078 1.6078
Ni 4.8235 4.8235 4.8235
CELL_PARAMETERS angstrom
6.4313 0.0000 0.0000
0.0000 6.4313 0.0000
0.0000 0.0000 6.4313
! DOS(E_F): 11.43 states/eV per cell

---

Structures ranked by computed energy, the most stable listed first: i, ii.

---

i | ! PrZnNi (PBE-GGA, optimized geometry); values from VASP
&SYSTEM
  ibrav = 0, nat = 6, ntyp = 3
/
ATOMIC_SPECIES
Pr 140.91 Pr.upf
Zn 65.41 Zn.upf
Ni 58.69 Ni.upf
ATOMIC_POSITIONS angstrom
Pr 0.0000 0.0000 0.0000
Pr 1.6825 1.6825 5.1481
Zn 0.0000 0.0000 7.3221
Zn 1.6825 1.6825 2.1740
Ni 0.0000 0.0000 3.1875
Ni 1.6825 1.6825 8.3356
CELL_PARAMETERS angstrom
3.3650 0.0000 0.0000
0.0000 3.3650 0.0000
0.0000 0.0000 10.2962
! DOS(E_F): 4.07 states/eV per cell

---

ii | ! PrZnNi (PBE-GGA, optimized geometry); values from VASP
&SYSTEM
  ibrav = 0, nat = 18, ntyp = 3
/
ATOMIC_SPECIES
Pr 140.91 Pr.upf
Zn 65.41 Zn.upf
Ni 58.69 Ni.upf
ATOMIC_POSITIONS angstrom
Pr 0.5283 0.0000 1.7529
Pr 3.1672 0.0000 4.4762
Pr 5.8061 0.0000 1.7529
Pr 6.8627 0.0000 5.4405
Pr 9.5016 0.0000 2.7172
Pr 12.1405 0.0000 5.4405
Zn 1.7707 1.9628 6.6164
Zn 3.1672 1.9628 1.9775
Zn 4.5637 1.9628 6.6164
Zn 8.1051 1.9628 0.5770
Zn 9.5016 1.9628 5.2159
Zn 10.8981 1.9628 0.5770
Ni 1.1609 1.9628 3.9430
Ni 3.1672 0.0000 0.3447
Ni 5.1735 1.9628 3.9430
Ni 7.4953 1.9628 3.2503
Ni 9.5016 0.0000 6.8487
Ni 11.5079 1.9628 3.2503
CELL_PARAMETERS angstrom
12.6688 0.0000 0.0000
0.0000 3.9256 0.0000
0.0000 0.0000 7.1934
! DOS(E_F): 11.16 states/eV per cell

---

Structures ranked by computed energy, the most stable listed first: ii, i.

---

i | ! Pr8ZnNi2 (PBE-GGA, optimized geometry); values from VASP
&SYSTEM
  ibrav = 0, nat = 11, ntyp = 3
/
ATOMIC_SPECIES
Pr 140.91 Pr.upf
Zn 65.41 Zn.upf
Ni 58.69 Ni.upf
ATOMIC_POSITIONS angstrom
Pr -0.0572 0.0000 1.8659
Pr 1.6740 0.0000 5.5130
Pr 4.7944 0.0000 3.1969
Pr 7.4684 0.0000 0.1392
Pr 8.7191 0.0000 6.3720
Pr 11.3930 0.0000 3.3143
Pr 14.5135 0.0000 0.9982
Pr 16.2447 0.0000 4.6453
Zn 8.0937 0.0000 3.2556
Ni 2.6204 0.0000 1.5004
Ni 13.5670 0.0000 5.0108
CELL_PARAMETERS angstrom
9.2518 -2.6412 0.0000
9.2518 2.6412 0.0000
-2.3160 0.0000 6.5112
! DOS(E_F): 10.05 states/eV per cell

---

ii | ! Pr8ZnNi2 (PBE-GGA, optimized geometry); values from VASP
&SYSTEM
  ibrav = 0, nat = 11, ntyp = 3
/
ATOMIC_SPECIES
Pr 140.91 Pr.upf
Zn 65.41 Zn.upf
Ni 58.69 Ni.upf
ATOMIC_POSITIONS angstrom
Pr 0.0000 0.0000 0.0000
Pr 0.5067 1.7355 3.3760
Pr 3.0318 3.3110 1.0127
Pr 0.5067 -1.7355 3.3760
Pr 3.9319 1.7332 4.1236
Pr 3.0318 -3.3110 1.0127
Pr 3.9319 -1.7332 4.1236
Pr 6.0778 0.0000 2.0287
Zn 3.0446 0.0000 0.9962
Ni 2.2225 4.0726 3.7554
Ni 2.2225 -4.0726 3.7554
CELL_PARAMETERS angstrom
4.3218 -6.9193 0.0000
4.3218 6.9193 0.0000
-1.6328 0.0000 5.4745
! DOS(E_F): 14.20 states/eV per cell

---

Structures ranked by computed energy, the most stable listed first: i, ii.